[1]
{
  "formula": "NdTmAu",
  "functional": "PBE-GGA",
  "state": "optimized geometry",
  "crystal_system": "orthorhombic",
  "e_above_lowest_polymorph_mev_per_atom": 0,
  "spacegroup": "Pnma",
  "cell": [[-4.241, -0.067, -2.627], [-3.381, -6.106, 5.614], [-2.680, 5.336, 4.190]],
  "species": ["Tm", "Tm", "Nd", "Nd", "Au", "Tm", "Au", "Au", "Nd", "Au", "Tm", "Nd"],
  "fractional_positions": [[0.750, 0.580, 0.648], [0.750, 0.920, 0.148], [0.750, 0.323, 0.014], [0.250, 0.677, 0.986], [0.250, 0.100, 0.244], [0.250, 0.080, 0.852], [0.250, 0.400, 0.744], [0.750, 0.600, 0.256], [0.750, 0.177, 0.514], [0.750, 0.900, 0.756], [0.250, 0.420, 0.352], [0.250, 0.823, 0.486]]
}

=====

[2]
{
  "formula": "Nd2TmAu",
  "functional": "PBE-GGA",
  "state": "optimized geometry",
  "crystal_system": "trigonal",
  "e_above_lowest_polymorph_mev_per_atom": 109,
  "spacegroup": "R3m",
  "cell": [[3.745, 0.000, 0.000], [1.872, 3.243, 0.000], [1.872, 1.081, 10.151]],
  "species": ["Au", "Nd", "Tm", "Nd"],
  "fractional_positions": [[0.667, 0.667, 0.999], [0.260, 0.260, 0.219], [0.499, 0.499, 0.502], [0.073, 0.073, 0.781]]
}

=====

[3]
{
  "formula": "Nd5TmAu6",
  "functional": "PBE-GGA",
  "state": "optimized geometry",
  "crystal_system": "monoclinic",
  "spacegroup": "C2/m",
  "cell": [[-3.838, -3.512, -0.431], [-0.162, -0.722, 7.328], [-7.328, 3.622, 3.896]],
  "species": ["Nd", "Au", "Nd", "Nd", "Au", "Au", "Tm", "Nd", "Nd", "Au", "Au", "Au"],
  "fractional_positions": [[0.330, 0.830, 0.340], [0.160, 0.398, 0.680], [0.000, 0.500, 0.000], [0.336, 0.335, 0.329], [0.840, 0.078, 0.320], [0.500, 0.772, 0.000], [0.000, 0.000, 0.000], [0.664, 0.665, 0.671], [0.670, 0.170, 0.660], [0.500, 0.228, 0.000], [0.160, 0.922, 0.680], [0.840, 0.602, 0.320]]
}

=====

[4]
{
  "formula": "Nd4TmAu5",
  "functional": "PBE-GGA",
  "state": "optimized geometry",
  "crystal_system": "tetragonal",
  "spacegroup": "P4/mmm",
  "cell": [[-3.380, -1.324, -0.415], [1.203, -2.251, -2.614], [3.549, -13.103, 12.915]],
  "species": ["Au", "Nd", "Nd", "Au", "Tm", "Au", "Nd", "Au", "Au", "Nd"],
  "fractional_positions": [[0.500, 0.500, 0.703], [0.000, 0.000, 0.195], [0.000, 0.000, 0.399], [0.500, 0.500, 0.500], [0.000, 0.000, 0.000], [0.500, 0.500, 0.089], [0.000, 0.000, 0.601], [0.500, 0.500, 0.911], [0.500, 0.500, 0.297], [0.000, 0.000, 0.805]]
}

=====

no.,formation enthalpy at 0 K (eV per atom),electronic total energy (eV/atom),DOS at the Fermi energy (states/eV per cell)
1,-0.611,-4.7828,12.7
2,-0.226,-4.5476,5.2
3,-0.781,-4.7789,9.0
4,-0.788,-4.7812,6.2